Crystalline LiCo2PdC at its relaxed geometry. Source: Alexandria, functional GGA-PBE.

Geometry as POSCAR:
```
LiCo2PdC
1.0
-3.6023 -0.2897 -0.5687
0.0836 -3.4458 1.2263
-0.7185 1.3565 3.8604
Co Pd Li C
2 1 1 1
Direct
0.5000 0.0000 0.0000 Co
0.0000 0.5000 0.0000 Co
0.5000 0.5000 0.5000 Pd
0.0000 0.0000 0.5000 Li
0.0000 0.0000 0.0000 C
```

Calculated values
The total DFT energy (no corrections) comes out at -6.05 eV/atom. As for the space-group type: No. 123.



Crystalline LiCo2PdC at its relaxed geometry. Source: Alexandria, functional GGA-PBE.

Geometry as POSCAR:
```
LiCo2PdC
1.0
-2.2180 -2.9707 0.1907
2.1380 -1.4242 2.6799
-2.3337 1.9276 2.8862
C Co Li Pd
1 2 1 1
Direct
0.0000 0.0000 0.0000 C
0.0000 0.5000 0.0000 Co
0.5000 0.0000 0.0000 Co
0.5000 0.5000 0.5000 Li
0.0000 0.0000 0.5000 Pd
```

Calculated values
The total DFT energy (no corrections) comes out at -6.06 eV/atom. As for the space-group type: No. 123.



Crystalline LiCoPd2C at its relaxed geometry. Source: Alexandria, functional GGA-PBE.

Geometry as POSCAR:
```
LiCoPd2C
1.0
4.1548 0.0000 0.0000
0.0000 4.1548 0.0000
0.0000 0.0000 3.6703
C Pd Co Li
1 2 1 1
Direct
0.0000 0.0000 0.0000 C
0.0000 0.5000 0.0000 Pd
0.5000 0.0000 0.0000 Pd
0.0000 0.0000 0.5000 Co
0.5000 0.5000 0.5000 Li
```

Calculated values
The total DFT energy (no corrections) comes out at -5.74 eV/atom. As for the space-group type: No. 123.



Crystalline LiPmCoC at its relaxed geometry. Source: Alexandria, functional GGA-PBE.

Geometry as POSCAR:
```
LiPmCoC
1.0
-2.6239 2.0418 0.7492
0.2442 -0.8900 3.2807
7.0181 8.3768 1.7501
C Li Pm Co
2 2 2 2
Direct
0.7500 0.7500 0.9041 C
0.2500 0.2500 0.0959 C
0.7500 0.2500 0.5000 Li
0.2500 0.7500 0.5000 Li
0.7500 0.7500 0.2164 Pm
0.2500 0.2500 0.7836 Pm
0.2500 0.7500 0.0000 Co
0.7500 0.2500 0.0000 Co
```

Calculated values
The total DFT energy (no corrections) comes out at -5.79 eV/atom. As for the space-group type: No. 129.



Crystalline LiPr2CoC at its relaxed geometry. Source: Alexandria, functional GGA-PBE.

Geometry as POSCAR:
```
LiPr2CoC
1.0
-0.8353 3.4874 -0.7527
-4.3790 -1.5948 -2.5294
-2.7350 0.3230 4.5312
C Li Co Pr
1 1 1 2
Direct
0.0000 0.0000 0.0000 C
0.5000 0.5000 0.5000 Li
0.5000 0.0000 0.0000 Co
0.0000 0.5000 0.0000 Pr
0.0000 0.0000 0.5000 Pr
```

Calculated values
The total DFT energy (no corrections) comes out at -5.66 eV/atom. As for the space-group type: No. 123.



Crystalline LiCo2RhC at its relaxed geometry. Source: Alexandria, functional GGA-PBE.

Geometry as POSCAR:
```
LiCo2RhC
1.0
-2.1959 -1.9468 -2.4502
0.6761 -3.4551 2.1393
-3.0659 0.7382 2.1612
Li Co Rh C
1 2 1 1
Direct
0.0000 0.0000 0.0000 Li
0.0000 0.0000 0.5000 Co
0.5000 0.0000 0.0000 Co
0.0000 0.5000 0.0000 Rh
0.5000 0.5000 0.5000 C
```

Calculated values
The total DFT energy (no corrections) comes out at -4.55 eV/atom. As for the space-group type: No. 123.



Crystalline LiCoRhC at its relaxed geometry. Source: Alexandria, functional GGA-PBE.

Geometry as POSCAR:
```
LiCoRhC
1.0
3.7462 0.0000 0.0000
1.8731 3.2443 0.0000
1.8731 1.0814 3.0588
Li Rh Co C
1 1 1 1
Direct
0.5000 0.5000 0.5000 Li
0.7500 0.7500 0.7500 Rh
0.2500 0.2500 0.2500 Co
0.0000 0.0000 0.0000 C
```

Calculated values
The total DFT energy (no corrections) comes out at -5.84 eV/atom. As for the space-group type: No. 216.



Crystalline LiCo2RhC at its relaxed geometry. Source: Alexandria, functional GGA-PBE.

Geometry as POSCAR:
```
LiCo2RhC
1.0
3.7458 0.0000 0.0000
0.0000 3.7458 0.0000
0.0000 0.0000 4.0304
Co Li C Rh
2 1 1 1
Direct
0.0000 0.5000 0.0000 Co
0.5000 0.0000 0.0000 Co
0.5000 0.5000 0.5000 Li
0.0000 0.0000 0.0000 C
0.0000 0.0000 0.5000 Rh
```

Calculated values
The total DFT energy (no corrections) comes out at -6.52 eV/atom. As for the space-group type: No. 123.